# BaMgTlIn

A geometry-optimized BaMgTlIn structure (PBE-GGA, Alexandria via LeMat-Bulk).

Output
SG: F-43m (216)
D(E_F) (states/eV per cell): 1.7
Energy (eV per cell): -9.66

The structure in CIF format:
```
data_BaMgTlIn
_chemical_formula_sum 'Ba1 Mg1 Tl1 In1'
_cell_length_a 5.614
_cell_length_b 5.614
_cell_length_c 5.614
_cell_angle_alpha 60.00
_cell_angle_beta 60.00
_cell_angle_gamma 60.00
_space_group_name_H-M_alt 'P 1'
_space_group_IT_number 1
_space_group_name_Hall 'P 1'
loop_
_atom_site_label
_atom_site_type_symbol
_atom_site_fract_x
_atom_site_fract_y
_atom_site_fract_z
In1 In 0.500 0.500 0.500
Ba1 Ba 0.750 0.750 0.750
Tl1 Tl 0.000 0.000 0.000
Mg1 Mg 0.250 0.250 0.250
```

---

# RbCaTbCl6

A geometry-optimized RbCaTbCl6 structure (PBE-GGA, Alexandria via LeMat-Bulk).

Output
SG: P-31c (163)
Formation energy without anion corrections (eV/atom): -2.30
D(E_F) (states/eV per cell): 0.0

The structure in CIF format:
```
data_RbCaTbCl6
_chemical_formula_sum 'Rb2 Ca2 Tb2 Cl12'
_cell_length_a 7.152
_cell_length_b 7.152
_cell_length_c 14.261
_cell_angle_alpha 90.00
_cell_angle_beta 90.00
_cell_angle_gamma 120.00
_space_group_name_H-M_alt 'P 1'
_space_group_IT_number 1
_space_group_name_Hall 'P 1'
loop_
_atom_site_label
_atom_site_type_symbol
_atom_site_fract_x
_atom_site_fract_y
_atom_site_fract_z
Rb1 Rb 0.000 0.000 0.500
Rb2 Rb 0.000 0.000 0.000
Ca1 Ca 0.333 0.667 0.250
Ca2 Ca 0.667 0.333 0.750
Cl1 Cl 0.621 0.630 0.643
Cl2 Cl 0.621 0.991 0.857
Cl3 Cl 0.630 0.621 0.143
Cl4 Cl 0.991 0.370 0.143
Cl5 Cl 0.370 0.379 0.857
Cl6 Cl 0.379 0.370 0.357
Cl7 Cl 0.991 0.621 0.357
Cl8 Cl 0.379 0.009 0.143
Cl9 Cl 0.009 0.630 0.857
Cl10 Cl 0.009 0.379 0.643
Cl11 Cl 0.370 0.991 0.643
Cl12 Cl 0.630 0.009 0.357
Tb1 Tb 0.333 0.667 0.750
Tb2 Tb 0.667 0.333 0.250
```

---

# CaLaEuHg

A geometry-optimized CaLaEuHg structure (PBE-GGA, Alexandria via LeMat-Bulk).

Output
SG: F-43m (216)
D(E_F) (states/eV per cell): 8.2
Energy (eV per cell): -17.94

The structure in CIF format:
```
data_CaLaEuHg
_chemical_formula_sum 'Ca1 La1 Eu1 Hg1'
_cell_length_a 5.721
_cell_length_b 5.721
_cell_length_c 5.721
_cell_angle_alpha 60.00
_cell_angle_beta 60.00
_cell_angle_gamma 60.00
_space_group_name_H-M_alt 'P 1'
_space_group_IT_number 1
_space_group_name_Hall 'P 1'
loop_
_atom_site_label
_atom_site_type_symbol
_atom_site_fract_x
_atom_site_fract_y
_atom_site_fract_z
Eu1 Eu 0.750 0.750 0.750
Ca1 Ca 0.500 0.500 0.500
Hg1 Hg 0.000 0.000 0.000
La1 La 0.250 0.250 0.250
```

---

# NaCdInGa

A geometry-optimized NaCdInGa structure (PBE-GGA, Alexandria via LeMat-Bulk).

Output
SG: Cm (8)
E above lowest polymorph (kJ/mol of atoms): 4.15
D(E_F) (states/eV per cell): 1.3

The structure in CIF format:
```
data_NaCdInGa
_chemical_formula_sum 'Na1 Cd1 In1 Ga1'
_cell_length_a 4.742
_cell_length_b 4.730
_cell_length_c 5.430
_cell_angle_alpha 89.72
_cell_angle_beta 90.00
_cell_angle_gamma 120.09
_space_group_name_H-M_alt 'P 1'
_space_group_IT_number 1
_space_group_name_Hall 'P 1'
loop_
_atom_site_label
_atom_site_type_symbol
_atom_site_fract_x
_atom_site_fract_y
_atom_site_fract_z
Ga1 Ga 0.238 0.475 0.701
Cd1 Cd 0.240 0.479 0.193
Na1 Na 0.573 0.146 0.464
In1 In 0.904 0.808 0.881
```

---

> Which value of D(E_F) does entry 3 give?

8.2 states/eV per cell